Record 1
TiPbBr2 | GGA-PBE | optimized geometry

The structure in POSCAR format:
```
TiPbBr2
1.0
1.9845 0.0000 11.0461
-0.9923 1.7187 11.0461
-0.9923 -1.7187 11.0461
Ti Pb Br
1 1 2
Direct
0.5000 0.5000 0.5000
0.0000 0.0000 0.0000
0.1150 0.1150 0.1150
0.8850 0.8850 0.8850
```

## Properties
Energy relative to the elements, uncorrected   -0.64 eV per atom
Space-group type   R-3m, No. 166
Energy above the lowest structure with this stoichiometry   0.000 eV per atom
Crystal system   trigonal

---

Record 2
TiTlPbBr6 | GGA-PBE | optimized geometry

The structure in POSCAR format:
```
TiTlPbBr6
1.0
-0.0810 -6.0222 -4.3668
5.9140 -1.6289 -4.2087
2.6557 -3.8223 5.2166
Pb Br Ti Tl
1 6 1 1
Direct
0.6665 0.6665 0.5000
0.6116 0.0432 0.2807
0.0432 0.6116 0.7193
0.0440 0.3451 0.2804
0.3454 0.6107 0.2802
0.6107 0.3455 0.7198
0.3450 0.0441 0.7196
0.3334 0.3334 0.5000
0.0000 0.0000 0.0000
```

## Properties
Energy relative to the elements, uncorrected   -1.01 eV per atom
Space-group type   P312, No. 149
Crystal system   trigonal

---

Record 3
Ti2VPbBr | GGA-PBE | optimized geometry

The structure in POSCAR format:
```
Ti2VPbBr
1.0
5.3509 0.0000 0.0000
0.0000 5.6883 0.0000
0.0000 0.0000 5.3509
Ti Pb Br V
2 1 1 1
Direct
0.5000 0.0000 0.0000
0.0000 0.0000 0.5000
0.0000 0.0000 0.0000
0.0000 0.5000 0.0000
0.5000 0.5000 0.5000
```

## Properties
Energy relative to the elements, uncorrected   1.54 eV per atom
Space-group type   P4/mmm, No. 123
Crystal system   tetragonal

---

Record 4
Zr2TiPbBr | GGA-PBE | optimized geometry

The structure in POSCAR format:
```
Zr2TiPbBr
1.0
-1.6830 1.0525 4.6724
-2.0895 -4.1038 0.1718
4.2001 -2.0558 1.9759
Ti Pb Zr Br
1 1 2 1
Direct
0.0000 0.5000 0.0000
0.5000 0.5000 0.5000
0.5000 0.0000 0.0000
0.0000 0.0000 0.5000
0.0000 0.0000 0.0000
```

## Properties
Energy relative to the elements, uncorrected   0.34 eV per atom
Space-group type   P4/mmm, No. 123
Crystal system   tetragonal

---

Record 5
Tl2PbBr5 | GGA-PBE | optimized geometry

The structure in POSCAR format:
```
Tl2PbBr5
1.0
5.5748 0.0000 1.8722
2.7874 6.4155 0.9361
0.1393 0.0000 8.8215
Tl Br Pb
2 5 1
Direct
0.1888 0.5000 0.1225
0.8112 0.5000 0.8775
0.4876 0.7899 0.2349
0.0000 0.5000 0.5000
0.7775 0.2101 0.2349
0.2225 0.7899 0.7651
0.5124 0.2101 0.7651
0.5000 0.5000 0.5000
```

## Properties
Energy relative to the elements, uncorrected   -0.65 eV per atom
Space-group type   Fmmm, No. 69
Energy above the lowest structure with this stoichiometry   0.091 eV per atom
Crystal system   orthorhombic

---

Record 6
TlPbBr2 | GGA-PBE | optimized geometry

The structure in POSCAR format:
```
TlPbBr2
1.0
-2.8344 2.6834 3.1311
-1.0557 -0.1648 4.8884
5.4135 4.9253 2.5035
Br Tl Pb
2 1 1
Direct
0.9907 0.9907 0.9875
0.5093 0.5093 0.5125
0.2500 0.2500 0.2500
0.7500 0.7500 0.7500
```

## Properties
Energy relative to the elements, uncorrected   -0.60 eV per atom
Space-group type   C2/m, No. 12
Energy above the lowest structure with this stoichiometry   0.042 eV per atom
Crystal system   monoclinic

---

no.,raw total energy (eV per cell)
1,-17.49
2,-33.13
3,-22.58
4,-28.69
5,-21.97
6,-11.81